KRePt | PBE | optimized geometry

Unit cell a=7.8400 b=4.1516 c=7.6955 alpha=90.00 beta=90.00 gamma=90.00
Closest atoms and distances in Å follow each position.
Atoms (fractional coordinates):
K  0.0083  0.2500  0.1227  2 K 2.81, 4 Pt 3.00-3.14
K  0.4917  0.7500  0.6227  2 K 2.81, 4 Pt 3.00-3.14
K  0.5083  0.2500  0.3773  2 K 2.81, 4 Pt 3.00-3.14
K  0.9917  0.7500  0.8773  2 K 2.81, 4 Pt 3.00-3.14
Re  0.0848  0.2500  0.5332  2 Re 2.52, 2 Pt 2.64-2.65
Re  0.4152  0.7500  0.0332  2 Re 2.52, 2 Pt 2.64-2.65
Re  0.5848  0.2500  0.9668  2 Re 2.52, 2 Pt 2.64-2.65
Re  0.9152  0.7500  0.4668  2 Re 2.52, 2 Pt 2.64-2.65
Pt  0.2150  0.7500  0.3091  4 Re 2.64-2.89
Pt  0.2850  0.2500  0.8091  4 Re 2.64-2.89
Pt  0.7150  0.7500  0.1909  4 Re 2.64-2.89
Pt  0.7850  0.2500  0.6909  4 Re 2.64-2.89

Calculated values
SG: Pnma (62)
Energy of formation, meV/atom: 504
ΔE to the lowest computed polymorph, meV/atom: 276.3
E, eV/atom: -6.025